{"formula": "Ac2NiSn3", "functional": "PBE-GGA", "state": "optimized geometry", "lattice": [[5.9477, -2.3655, 0.0000], [5.9477, 2.3655, 0.0000], [-5.1076, 0.0000, 6.0032]], "species": ["Ac", "Ac", "Ni", "Sn", "Sn", "Sn"], "fractional_positions": [[0.0000, 0.0000, 0.0000], [0.1245, 0.1245, 0.6629], [0.7416, 0.7416, 0.4409], [0.3620, 0.3620, 0.5573], [0.4621, 0.4621, 0.2566], [0.7532, 0.7532, 0.1131]], "m_tot_mub_per_fu": 0.000, "dos_ef_per_ev_fu": 2.641, "ef_ev_per_atom": -0.553, "relative_energy_mev_per_atom": 35}

---

{"formula": "RbPr4NdSe8", "functional": "PBE-GGA", "state": "optimized geometry", "lattice": [[4.4785, 2.5857, 7.2786], [-4.4785, 2.5857, 7.2786], [0.0000, -5.1714, 7.2786]], "species": ["Rb", "Pr", "Pr", "Pr", "Pr", "Nd", "Se", "Se", "Se", "Se", "Se", "Se", "Se", "Se"], "fractional_positions": [[0.0000, 0.0000, 0.0000], [0.1114, 0.6283, 0.6283], [0.2488, 0.2488, 0.2488], [0.6283, 0.1114, 0.6283], [0.6283, 0.6283, 0.1114], [0.6283, 0.6283, 0.6283], [0.3815, 0.3815, 0.3815], [0.3823, 0.3823, 0.8513], [0.3823, 0.8513, 0.3823], [0.4251, 0.8560, 0.8560], [0.8513, 0.3823, 0.3823], [0.8560, 0.4251, 0.8560], [0.8560, 0.8560, 0.4251], [0.8575, 0.8575, 0.8575]], "m_tot_mub_per_fu": 0.000, "dos_ef_per_ev_fu": 0.000, "raw_formation_energy_ev_per_atom": -1.733}

---

{"formula": "LaSm2Ho5Er", "functional": "PBE-GGA", "state": "optimized geometry", "lattice": [[-4.3886, 4.3886, 7.6523], [4.3886, -4.3886, 7.6523], [4.3886, 4.3886, -7.6523]], "species": ["La", "La", "Sm", "Sm", "Sm", "Sm", "Ho", "Ho", "Ho", "Ho", "Ho", "Ho", "Ho", "Ho", "Ho", "Ho", "Er", "Er"], "fractional_positions": [[0.2500, 0.2500, 0.0000], [0.7500, 0.7500, 0.0000], [0.1159, 0.6159, 0.7317], [0.3841, 0.1159, 0.5000], [0.6159, 0.8841, 0.5000], [0.8841, 0.3841, 0.2683], [0.0000, 0.0000, 0.0000], [0.0729, 0.1569, 0.5000], [0.1569, 0.6569, 0.0839], [0.3431, 0.4271, 0.5000], [0.4271, 0.9271, 0.0839], [0.5000, 0.5000, 0.0000], [0.5729, 0.0729, 0.9161], [0.6569, 0.5729, 0.5000], [0.8431, 0.3431, 0.9161], [0.9271, 0.8431, 0.5000], [0.2500, 0.7500, 0.5000], [0.7500, 0.2500, 0.5000]], "m_tot_mub_per_fu": 0.001, "dos_ef_per_ev_fu": 10.165, "ef_ev_per_atom": 0.269}

---

{"formula": "NdTm2Co9", "functional": "PBE-GGA", "state": "optimized geometry", "lattice": [[2.5030, 1.4451, 8.0513], [-2.5030, 1.4451, 8.0513], [0.0000, -2.8902, 8.0513]], "species": ["Nd", "Tm", "Tm", "Co", "Co", "Co", "Co", "Co", "Co", "Co", "Co", "Co"], "fractional_positions": [[0.0000, 0.0000, 0.0000], [0.1406, 0.1406, 0.1406], [0.8594, 0.8594, 0.8594], [0.0781, 0.5853, 0.5853], [0.3354, 0.3354, 0.3354], [0.4147, 0.4147, 0.9219], [0.4147, 0.9219, 0.4147], [0.5000, 0.5000, 0.5000], [0.5853, 0.0781, 0.5853], [0.5853, 0.5853, 0.0781], [0.6646, 0.6646, 0.6646], [0.9219, 0.4147, 0.4147]], "m_tot_mub_per_fu": 10.787, "dos_ef_per_ev_fu": 16.862, "ef_ev_per_atom": -0.170}

---

{"formula": "AcCe2TaO8", "functional": "PBE-GGA", "state": "optimized geometry", "lattice": [[5.1341, 0.0000, 0.0000], [0.0000, 7.1770, 0.0000], [-0.0716, 0.0000, 5.1433]], "species": ["Ac", "Ce", "Ce", "Ta", "O", "O", "O", "O", "O", "O", "O", "O"], "fractional_positions": [[0.0000, 0.0000, 0.0000], [0.5000, 0.2586, 0.5000], [0.5000, 0.7414, 0.5000], [0.0000, 0.5000, 0.0000], [0.1885, 0.2943, 0.1892], [0.1885, 0.7057, 0.1892], [0.2825, 0.5000, 0.7182], [0.3293, 0.0000, 0.6728], [0.6707, 0.0000, 0.3272], [0.7175, 0.5000, 0.2818], [0.8115, 0.2943, 0.8108], [0.8115, 0.7057, 0.8108]], "m_tot_mub_per_fu": 0.000, "dos_ef_per_ev_fu": 0.000, "raw_formation_energy_ev_per_atom": -3.199}

---

{"formula": "Na2LiIO", "functional": "PBE-GGA", "state": "optimized geometry", "lattice": [[4.8873, 0.0000, 0.0000], [0.0000, 4.8873, 0.0000], [0.0000, 0.0000, 4.0224]], "species": ["Na", "Na", "Li", "I", "O"], "fractional_positions": [[0.0000, 0.5000, 0.0000], [0.5000, 0.0000, 0.0000], [0.0000, 0.0000, 0.5000], [0.5000, 0.5000, 0.5000], [0.0000, 0.0000, 0.0000]], "m_tot_mub_per_fu": 0.050, "dos_ef_per_ev_fu": 0.000, "raw_formation_energy_ev_per_atom": -1.322}

---

{"formula": "MgAl3Pd2", "functional": "PBE-GGA", "state": "optimized geometry", "lattice": [[7.1723, -2.0618, 0.0000], [7.1723, 2.0618, 0.0000], [-4.8247, 0.0000, 6.7852]], "species": ["Mg", "Mg", "Al", "Al", "Al", "Al", "Al", "Al", "Pd", "Pd", "Pd", "Pd"], "fractional_positions": [[0.1205, 0.1205, 0.1197], [0.8795, 0.8795, 0.8803], [0.0004, 0.0004, 0.3401], [0.9996, 0.9996, 0.6599], [0.3224, 0.3224, 0.1316], [0.3220, 0.3220, 0.5114], [0.6780, 0.6780, 0.4886], [0.6776, 0.6776, 0.8684], [0.2135, 0.2135, 0.7139], [0.4993, 0.4993, 0.8377], [0.5007, 0.5007, 0.1623], [0.7865, 0.7865, 0.2861]], "m_tot_mub_per_fu": 0.000, "dos_ef_per_ev_fu": 1.193, "ef_ev_per_atom": -0.591, "relative_energy_mev_per_atom": 0}

---

{"formula": "LiLuIrPd", "functional": "PBE-GGA", "state": "optimized geometry", "lattice": [[0.0000, 3.2167, 3.2167], [3.2167, 0.0000, 3.2167], [3.2167, 3.2167, 0.0000]], "species": ["Li", "Lu", "Ir", "Pd"], "fractional_positions": [[0.0000, 0.0000, 0.0000], [0.5000, 0.5000, 0.5000], [0.7500, 0.7500, 0.7500], [0.2500, 0.2500, 0.2500]], "m_tot_mub_per_fu": 0.000, "dos_ef_per_ev_fu": 2.672, "ef_ev_per_atom": -0.596}

---

Question: Number 7 is which compound?
Answer: MgAl3Pd2